Below is an optimized crystal structure of AlVTcF2, with properties calculated at the PBE+U level. Values from VASP.

The structure in Quantum ESPRESSO input format:
```
&SYSTEM
  ibrav = 0, nat = 5, ntyp = 4
/
ATOMIC_SPECIES
Al 26.98 Al.upf
V 50.94 V.upf
Tc 98.00 Tc.upf
F 19.00 F.upf
ATOMIC_POSITIONS crystal
Al 0.000 0.000 0.000
V 0.500 0.500 0.500
Tc 0.000 0.000 0.500
F 0.000 0.500 0.000
F 0.500 0.000 0.000
CELL_PARAMETERS angstrom
3.508 0.000 0.000
0.000 3.508 0.000
0.000 0.000 6.107
```

## Properties
**Electronic total energy**: -5.740 eV/atom
**Crystal system**: tetragonal
**Symmetry**: P4/mmm (123)